1.
{"formula": "Ce2Pu3Au3", "functional": "GGA-PBE", "state": "optimized geometry", "lattice_angstrom": [[5.554, 0.000, 0.000], [0.000, 12.205, 0.000], [-0.327, 0.000, 5.667]], "species": ["Ce", "Ce", "Ce", "Ce", "Pu", "Pu", "Pu", "Pu", "Pu", "Pu", "Au", "Au", "Au", "Au", "Au", "Au"], "frac_coords": [[0.069, 0.113, 0.289], [0.069, 0.387, 0.289], [0.931, 0.613, 0.711], [0.931, 0.887, 0.711], [0.391, 0.505, 0.749], [0.391, 0.995, 0.749], [0.394, 0.250, 0.898], [0.606, 0.750, 0.102], [0.609, 0.005, 0.251], [0.609, 0.495, 0.251], [0.130, 0.630, 0.217], [0.130, 0.870, 0.217], [0.438, 0.750, 0.592], [0.562, 0.250, 0.408], [0.870, 0.130, 0.783], [0.870, 0.370, 0.783]], "energy_ev_per_atom": -8.38, "n_ef_per_ev_cell": 43.397, "spacegroup": "No. 11", "de_polymorph_mev_per_atom": 11, "e_form_ev_per_atom": -0.2968, "total_magnetization_mub_per_fu": 7.67}

***

2.
{"formula": "Ce5Pu2Au", "functional": "GGA-PBE", "state": "optimized geometry", "lattice_angstrom": [[4.297, -4.775, 0.000], [4.297, 4.775, 0.000], [-4.296, 0.000, 4.775]], "species": ["Ce", "Ce", "Ce", "Ce", "Ce", "Pu", "Pu", "Au"], "frac_coords": [[0.000, 0.000, 0.000], [0.043, 0.504, 0.000], [0.044, 0.044, 0.539], [0.503, 0.503, 0.461], [0.504, 0.043, 0.000], [0.493, 0.991, 0.500], [0.991, 0.493, 0.500], [0.564, 0.564, 0.000]], "energy_ev_per_atom": -7.79, "n_ef_per_ev_cell": 17.537, "spacegroup": "No. 8", "e_form_ev_per_atom": -0.0883, "total_magnetization_mub_per_fu": 11.22}

***

3.
{"formula": "CePu2Au2", "functional": "GGA-PBE", "state": "optimized geometry", "lattice_angstrom": [[2.480, 1.432, 5.296], [-2.480, 1.432, 5.296], [0.000, -2.864, 5.296]], "species": ["Ce", "Pu", "Pu", "Au", "Au"], "frac_coords": [[0.000, 0.000, 0.000], [0.408, 0.408, 0.408], [0.592, 0.592, 0.592], [0.203, 0.203, 0.203], [0.797, 0.797, 0.797]], "energy_ev_per_atom": -8.59, "n_ef_per_ev_cell": 12.373, "spacegroup": "No. 166", "de_polymorph_mev_per_atom": 0, "e_form_ev_per_atom": -0.3613, "total_magnetization_mub_per_fu": 12.43}

***

4.
{"formula": "CePu2Au3", "functional": "GGA-PBE", "state": "optimized geometry", "lattice_angstrom": [[3.882, 0.000, 0.000], [0.000, 3.882, 0.000], [0.000, 0.000, 9.281]], "species": ["Ce", "Pu", "Pu", "Au", "Au", "Au"], "frac_coords": [[0.000, 0.000, 0.000], [0.000, 0.000, 0.379], [0.000, 0.000, 0.621], [0.500, 0.500, 0.183], [0.500, 0.500, 0.500], [0.500, 0.500, 0.817]], "energy_ev_per_atom": -7.31, "n_ef_per_ev_cell": 22.831, "spacegroup": "No. 123", "e_form_ev_per_atom": 0.0939, "total_magnetization_mub_per_fu": 1.11}

***

5.
{"formula": "CePu5Au6", "functional": "GGA-PBE", "state": "optimized geometry", "lattice_angstrom": [[8.281, -3.540, 0.000], [8.281, 3.540, 0.000], [-1.665, 0.000, 4.990]], "species": ["Ce", "Pu", "Pu", "Pu", "Pu", "Pu", "Au", "Au", "Au", "Au", "Au", "Au"], "frac_coords": [[0.000, 0.000, 0.000], [0.166, 0.166, 0.665], [0.327, 0.327, 0.328], [0.500, 0.500, 0.000], [0.673, 0.673, 0.672], [0.834, 0.834, 0.335], [0.092, 0.581, 0.838], [0.263, 0.737, 0.500], [0.419, 0.908, 0.162], [0.581, 0.092, 0.838], [0.737, 0.263, 0.500], [0.908, 0.419, 0.162]], "energy_ev_per_atom": -8.54, "n_ef_per_ev_cell": 53.894, "spacegroup": "No. 12", "e_form_ev_per_atom": -0.4308, "total_magnetization_mub_per_fu": 16.78}

***

6.
{"formula": "Ce5PuAu4", "functional": "GGA-PBE", "state": "optimized geometry", "lattice_angstrom": [[5.279, 0.000, 0.000], [0.105, 6.338, 0.000], [2.541, 2.055, 7.432]], "species": ["Ce", "Ce", "Ce", "Ce", "Ce", "Pu", "Au", "Au", "Au", "Au"], "frac_coords": [[0.000, 0.000, 0.000], [0.187, 0.775, 0.623], [0.412, 0.576, 0.223], [0.600, 0.393, 0.795], [0.791, 0.133, 0.419], [0.665, 0.690, 0.460], [0.006, 0.491, 0.047], [0.195, 0.283, 0.602], [0.402, 0.071, 0.198], [0.591, 0.873, 0.825]], "energy_ev_per_atom": -6.20, "n_ef_per_ev_cell": 22.237, "spacegroup": "No. 1", "e_form_ev_per_atom": -0.4840, "total_magnetization_mub_per_fu": 8.26}